No. 1
PBE RbTlPb3, optimized geometry; ΔH_f (0 K) = -0.08 eV per atom; energy relative to the lowest polymorph listed for this composition = 0 meV per atom
1.0
3.6140 -3.6100 0.0000
3.6140 3.6100 0.0000
-3.6116 0.0000 7.3241
Rb Tl Pb
1 1 3
direct
0.0000 0.0000 0.0000
0.3988 0.3988 0.7773
0.2427 0.7597 0.5010
0.6070 0.6070 0.2316
0.7597 0.2427 0.5010


No. 2
PBE Rb2TlPb2, optimized geometry; ΔH_f (0 K) = 0.16 eV per atom; energy relative to the lowest polymorph listed for this composition = 243 meV per atom
1.0
-2.8200 2.8200 7.6265
2.8200 -2.8200 7.6265
2.8200 2.8200 -7.6265
Rb Tl Pb
2 1 2
direct
0.2500 0.7500 0.5000
0.7500 0.2500 0.5000
0.0000 0.0000 0.0000
0.4092 0.4092 0.0000
0.5908 0.5908 0.0000


No. 3
PBE Rb4Tl4Pb, optimized geometry; ΔH_f (0 K) = 0.05 eV per atom
1.0
-3.7313 3.7313 8.1012
3.7313 -3.7313 8.1012
3.7313 3.7313 -8.1012
Rb Tl Pb
4 4 1
direct
0.1940 0.1940 0.6176
0.4237 0.8060 0.0000
0.5763 0.5763 0.3824
0.8060 0.4237 0.0000
0.0127 0.6701 0.0000
0.3299 0.3299 0.3426
0.6701 0.0127 0.0000
0.9873 0.9873 0.6574
0.0000 0.0000 0.0000